No. 1
Computed, not measured: a geometry-optimized ScSb2TeAs structure at the GGA-PBE level of DFT.

abc: 5.2612 5.2612 5.4584
angles: 90.00 90.00 90.00
Element x y z (fractional)
Sc: 0.0000 0.0000 0.0000
Sb: 0.0000 0.5000 0.5000
Sb: 0.5000 0.0000 0.5000
Te: 0.5000 0.5000 0.0000
As: 0.5000 0.5000 0.5000

energy above the most stable polymorph in this dataset = 0.0 kJ per mole of atoms
raw formation energy = 0.376 eV/atom
DOS(E_F) = 0.75 states/eV/atom
E = -20.489 eV per formula unit
space-group type = P4/mmm

---

No. 2
Computed, not measured: a geometry-optimized Sc2TlSbAs structure at the GGA-PBE level of DFT.

abc: 5.0687 5.0687 5.5288
angles: 90.00 90.00 90.00
Element x y z (fractional)
Sc: 0.0000 0.5000 0.0000
Sc: 0.5000 0.0000 0.0000
Tl: 0.0000 0.0000 0.5000
Sb: 0.5000 0.5000 0.5000
As: 0.5000 0.5000 0.0000

raw formation energy = -0.147 eV/atom
DOS(E_F) = 0.80 states/eV/atom
E = -24.537 eV per formula unit
space-group type = P4/mmm

---

No. 3
Computed, not measured: a geometry-optimized Sb2AsSe structure at the GGA-PBE level of DFT.

abc: 7.1678 7.1678 7.1678
angles: 147.44 147.44 46.72
Element x y z (fractional)
Sb: 0.0000 0.0000 0.0000
Sb: 0.7500 0.2500 0.5000
As: 0.5000 0.5000 0.0000
Se: 0.2500 0.7500 0.5000

energy above the most stable polymorph in this dataset = 30.4 kJ per mole of atoms
raw formation energy = 0.296 eV/atom
DOS(E_F) = 0.83 states/eV/atom
E = -15.194 eV per formula unit
space-group type = I-4m2

---

No. 4
Computed, not measured: a geometry-optimized Sb2AsSe structure at the GGA-PBE level of DFT.

abc: 6.3553 6.3553 4.5623
angles: 94.18 94.18 35.87
Element x y z (fractional)
Sb: 0.0000 0.0000 0.0000
Sb: 0.7404 0.7404 0.6134
As: 0.2264 0.2264 0.0223
Se: 0.5072 0.5072 0.4953

energy above the most stable polymorph in this dataset = 0.0 kJ per mole of atoms
raw formation energy = -0.019 eV/atom
DOS(E_F) = 0.23 states/eV/atom
E = -16.455 eV per formula unit
space-group type = Cm

---

No. 5
Computed, not measured: a geometry-optimized SbAsSe2 structure at the GGA-PBE level of DFT.

abc: 4.9723 4.9723 4.1015
angles: 90.00 90.00 107.48
Element x y z (fractional)
Sb: 0.0000 0.0000 0.0000
As: 0.5000 0.5000 0.0000
Se: 0.2582 0.7418 0.5000
Se: 0.7418 0.2582 0.5000

energy above the most stable polymorph in this dataset = 7.7 kJ per mole of atoms
raw formation energy = 0.042 eV/atom
DOS(E_F) = 0.35 states/eV/atom
E = -15.574 eV per formula unit
space-group type = Cmmm

---

No. 6
Computed, not measured: a geometry-optimized SbAsSe2 structure at the GGA-PBE level of DFT.

abc: 9.0584 9.0584 9.0584
angles: 24.44 24.44 24.44
Element x y z (fractional)
Sb: 0.0000 0.0000 0.0000
As: 0.5000 0.5000 0.5000
Se: 0.4028 0.4028 0.4028
Se: 0.5972 0.5972 0.5972

energy above the most stable polymorph in this dataset = 20.8 kJ per mole of atoms
raw formation energy = 0.178 eV/atom
DOS(E_F) = 0.59 states/eV/atom
E = -15.031 eV per formula unit
space-group type = R-3m

---

No. 7
Computed, not measured: a geometry-optimized SbAsSe structure at the GGA-PBE level of DFT.

abc: 4.1016 4.1016 5.0403
angles: 90.00 90.00 120.00
Element x y z (fractional)
Sb: 0.0000 0.0000 0.0000
As: 0.3333 0.6667 0.6944
Se: 0.6667 0.3333 0.3568

energy above the most stable polymorph in this dataset = 2.6 kJ per mole of atoms
raw formation energy = 0.032 eV/atom
DOS(E_F) = 0.54 states/eV/atom
E = -12.162 eV per formula unit
space-group type = P3m1

---

No. 8
Computed, not measured: a geometry-optimized SbAs2Se2 structure at the GGA-PBE level of DFT.

abc: 8.5743 8.5743 3.4894
angles: 90.00 90.00 90.00
Element x y z (fractional)
Sb: 0.0000 0.0000 0.0000
Sb: 0.5000 0.5000 0.0000
As: 0.2252 0.2748 0.0000
As: 0.2748 0.7748 0.0000
As: 0.7252 0.2252 0.0000
As: 0.7748 0.7252 0.0000
Se: 0.1336 0.6336 0.5000
Se: 0.3664 0.1336 0.5000
Se: 0.6336 0.8664 0.5000
Se: 0.8664 0.3664 0.5000

energy above the most stable polymorph in this dataset = 0.0 kJ per mole of atoms
raw formation energy = 0.091 eV/atom
DOS(E_F) = 0.57 states/eV/atom
E = -19.936 eV per formula unit
space-group type = P4/mbm

---

No. 9
Computed, not measured: a geometry-optimized Sb2AsSe structure at the GGA-PBE level of DFT.

abc: 5.1540 5.1540 5.1540
angles: 111.27 111.27 105.93
Element x y z (fractional)
Sb: 0.0000 0.5000 0.5000
Sb: 0.5000 0.0000 0.5000
As: 0.0000 0.0000 0.0000
Se: 0.5000 0.5000 0.0000

energy above the most stable polymorph in this dataset = 8.0 kJ per mole of atoms
raw formation energy = 0.064 eV/atom
DOS(E_F) = 0.68 states/eV/atom
E = -16.124 eV per formula unit
space-group type = I4/mmm

---

No. 10
Computed, not measured: a geometry-optimized SbAsSe2 structure at the GGA-PBE level of DFT.

abc: 3.6629 4.5472 5.8974
angles: 90.00 90.00 90.00
Element x y z (fractional)
Sb: 0.0000 0.0000 0.0000
As: 0.5000 0.5000 0.5198
Se: 0.0000 0.0000 0.5297
Se: 0.5000 0.5000 0.9665

energy above the most stable polymorph in this dataset = 9.6 kJ per mole of atoms
raw formation energy = 0.062 eV/atom
DOS(E_F) = 0.56 states/eV/atom
E = -15.494 eV per formula unit
space-group type = Pmm2

---

No. 11
Computed, not measured: a geometry-optimized SbAsSe structure at the GGA-PBE level of DFT.

abc: 4.8137 4.8137 4.8137
angles: 60.00 60.00 60.00
Element x y z (fractional)
Sb: 0.0000 0.0000 0.0000
As: 0.5000 0.5000 0.5000
Se: 0.7500 0.7500 0.7500

energy above the most stable polymorph in this dataset = 51.7 kJ per mole of atoms
raw formation energy = 0.541 eV/atom
DOS(E_F) = 0.67 states/eV/atom
E = -10.633 eV per formula unit
space-group type = F-43m

---

No. 12
Computed, not measured: a geometry-optimized SbAsSe2 structure at the GGA-PBE level of DFT.

abc: 9.1347 9.1347 9.1347
angles: 23.46 23.46 23.46
Element x y z (fractional)
Sb: 0.0000 0.0000 0.0000
As: 0.5000 0.5000 0.5000
Se: 0.1059 0.1059 0.1059
Se: 0.8941 0.8941 0.8941

energy above the most stable polymorph in this dataset = 7.4 kJ per mole of atoms
raw formation energy = 0.039 eV/atom
DOS(E_F) = 0.26 states/eV/atom
E = -15.586 eV per formula unit
space-group type = R-3m

---

No. 13
Computed, not measured: a geometry-optimized Sb2AsSe structure at the GGA-PBE level of DFT.

abc: 3.5915 3.5915 7.2348
angles: 90.00 90.00 90.00
Element x y z (fractional)
Sb: 0.0000 0.0000 0.2382
Sb: 0.0000 0.0000 0.7618
As: 0.5000 0.5000 0.0000
Se: 0.5000 0.5000 0.5000

energy above the most stable polymorph in this dataset = 20.2 kJ per mole of atoms
raw formation energy = 0.191 eV/atom
DOS(E_F) = 0.43 states/eV/atom
E = -15.617 eV per formula unit
space-group type = P4/mmm

---

No. 14
Computed, not measured: a geometry-optimized SbAsSe2 structure at the GGA-PBE level of DFT.

abc: 3.9966 3.9966 8.0328
angles: 90.00 90.00 124.53
Element x y z (fractional)
Sb: 0.0000 0.0000 0.0000
As: 0.0000 0.0000 0.5000
Se: 0.5000 0.5000 0.2706
Se: 0.5000 0.5000 0.7294

energy above the most stable polymorph in this dataset = 27.0 kJ per mole of atoms
raw formation energy = 0.242 eV/atom
DOS(E_F) = 0.47 states/eV/atom
E = -14.772 eV per formula unit
space-group type = Cmmm

---

No. 15
Computed, not measured: a geometry-optimized SbAs3Se structure at the GGA-PBE level of DFT.

abc: 5.2567 5.2567 5.2567
angles: 90.00 90.00 90.00
Element x y z (fractional)
Sb: 0.0000 0.0000 0.0000
As: 0.0000 0.0000 0.5000
As: 0.0000 0.5000 0.0000
As: 0.5000 0.0000 0.0000
Se: 0.5000 0.5000 0.5000

energy above the most stable polymorph in this dataset = 35.5 kJ per mole of atoms
raw formation energy = 1.125 eV/atom
DOS(E_F) = 1.47 states/eV/atom
E = -15.932 eV per formula unit
space-group type = Pm-3m

---

No. 16
Computed, not measured: a geometry-optimized Sb2AsSe structure at the GGA-PBE level of DFT.

abc: 6.5714 6.5714 6.5714
angles: 109.47 109.47 109.47
Element x y z (fractional)
Sb: 0.1143 0.1250 0.4893
Sb: 0.3750 0.8857 0.0107
Sb: 0.6357 0.6250 0.5107
Sb: 0.8750 0.3643 0.9893
As: 0.0000 0.0000 0.0000
As: 0.7500 0.2500 0.5000
Se: 0.2500 0.7500 0.5000
Se: 0.5000 0.5000 0.0000

energy above the most stable polymorph in this dataset = 16.5 kJ per mole of atoms
raw formation energy = 0.152 eV/atom
DOS(E_F) = 0.48 states/eV/atom
E = -15.772 eV per formula unit
space-group type = I-42d

---

No. 17
Computed, not measured: a geometry-optimized SbAsSe structure at the GGA-PBE level of DFT.

abc: 5.7534 5.7534 5.7534
angles: 139.90 139.90 58.01
Element x y z (fractional)
Sb: 0.0000 0.0000 0.0000
As: 0.4033 0.4033 0.0000
Se: 0.6486 0.6486 0.0000

energy above the most stable polymorph in this dataset = 19.7 kJ per mole of atoms
raw formation energy = 0.209 eV/atom
DOS(E_F) = 0.45 states/eV/atom
E = -11.629 eV per formula unit
space-group type = I4mm

---

No. 18
Computed, not measured: a geometry-optimized SbAsSe2 structure at the GGA-PBE level of DFT.

abc: 6.6093 6.6093 4.7320
angles: 99.51 99.51 36.52
Element x y z (fractional)
Sb: 0.0000 0.0000 0.0000
As: 0.6034 0.6034 0.4215
Se: 0.1794 0.1794 0.8158
Se: 0.4296 0.4296 0.5503

energy above the most stable polymorph in this dataset = 0.6 kJ per mole of atoms
raw formation energy = -0.031 eV/atom
DOS(E_F) = 0.19 states/eV/atom
E = -15.866 eV per formula unit
space-group type = Cm

---

No. 19
Computed, not measured: a geometry-optimized Sb2AsSe structure at the GGA-PBE level of DFT.

abc: 3.5023 3.5023 10.0856
angles: 90.00 90.00 115.31
Element x y z (fractional)
Sb: 0.0000 0.0000 0.0000
Sb: 0.5000 0.5000 0.3470
As: 0.0000 0.0000 0.5368
Se: 0.5000 0.5000 0.8102

energy above the most stable polymorph in this dataset = 28.9 kJ per mole of atoms
raw formation energy = 0.281 eV/atom
DOS(E_F) = 0.52 states/eV/atom
E = -15.255 eV per formula unit
space-group type = Cmm2

---

No. 20
Computed, not measured: a geometry-optimized Sb2As2Se structure at the GGA-PBE level of DFT.

abc: 5.7880 5.7880 5.7880
angles: 124.49 124.49 82.39
Element x y z (fractional)
Sb: 0.2500 0.7500 0.5000
Sb: 0.7500 0.2500 0.5000
As: 0.1429 0.1429 0.0000
As: 0.8571 0.8571 0.0000
Se: 0.5000 0.5000 0.0000

energy above the most stable polymorph in this dataset = 0.0 kJ per mole of atoms
raw formation energy = 0.147 eV/atom
DOS(E_F) = 0.34 states/eV/atom
E = -20.293 eV per formula unit
space-group type = I4/mmm